No. 1
# PBE CdSb2Pt, relaxed
data_CdSb2Pt
_symmetry_space_group_name_H-M 'I m m m'
_symmetry_Int_Tables_number 71
_symmetry_space_group_name_Hall '-I 2 2'
_cell_length_a 3.452
_cell_length_b 4.611
_cell_length_c 12.189
_cell_angle_alpha 90.00
_cell_angle_beta 90.00
_cell_angle_gamma 90.00
loop_
_atom_site_label
_atom_site_type_symbol
_atom_site_fract_x
_atom_site_fract_y
_atom_site_fract_z
Cd1 Cd 0.000 0.000 0.000
Sb1 Sb 0.000 0.500 0.177
Pt1 Pt 0.000 0.000 0.500
# uncorrected formation energy = -0.15 eV/atom
# spin magnetization = 0.00 μB per atom

***

No. 2
# PBE LaErSeO2, relaxed
data_LaErSeO2
_symmetry_space_group_name_H-M 'P 1 21/m 1'
_symmetry_Int_Tables_number 11
_symmetry_space_group_name_Hall '-P 2yb'
_cell_length_a 6.684
_cell_length_b 4.106
_cell_length_c 7.796
_cell_angle_alpha 90.00
_cell_angle_beta 108.73
_cell_angle_gamma 90.00
loop_
_atom_site_label
_atom_site_type_symbol
_atom_site_fract_x
_atom_site_fract_y
_atom_site_fract_z
La1 La 0.193 0.250 0.430
Er1 Er 0.169 0.250 0.922
Se1 Se 0.453 0.750 0.755
O1 O 0.014 0.750 0.369
O2 O 0.017 0.750 0.890
# uncorrected formation energy = -3.11 eV/atom
# spin magnetization = 0.00 μB per atom